# 1
This record from Alexandria describes a relaxed structure of TaIn2Se. The functional is GGA-PBEsol.

```
data_TaIn2Se
_symmetry_space_group_name_H-M 'I m m 2'
_symmetry_Int_Tables_number 44
_cell_length_a 3.206
_cell_length_b 5.056
_cell_length_c 10.518
_cell_angle_alpha 90.00
_cell_angle_beta 90.00
_cell_angle_gamma 90.00
loop_
_symmetry_equiv_pos_as_xyz
'x,y,z'
'-x,-y,z'
'-x,y,z'
'x,-y,z'
'x+1/2,y+1/2,z+1/2'
'-x+1/2,-y+1/2,z+1/2'
'-x+1/2,y+1/2,z+1/2'
'x+1/2,-y+1/2,z+1/2'
loop_
_atom_site_label
_atom_site_type_symbol
_atom_site_fract_x
_atom_site_fract_y
_atom_site_fract_z
_atom_site_occupancy
Ta1 Ta 0.000 0.000 0.000 1
In1 In 0.000 0.000 0.538 1
In2 In 0.000 0.500 0.745 1
Se1 Se 0.000 0.500 0.316 1
```

Computed properties:
For the total DFT energy (no corrections), the calculation gives -5.59 eV/atom. The calculation puts the uncorrected formation energy at 0.0 eV/f.u.



# 2
This record from Alexandria describes a relaxed structure of TaInSe2. The functional is GGA-PBEsol.

```
data_TaInSe2
_symmetry_space_group_name_H-M 'C 1 m 1'
_symmetry_Int_Tables_number 8
_cell_length_a 9.025
_cell_length_b 3.295
_cell_length_c 6.384
_cell_angle_alpha 90.00
_cell_angle_beta 112.91
_cell_angle_gamma 90.00
loop_
_symmetry_equiv_pos_as_xyz
'x,y,z'
'x,-y,z'
'x+1/2,y+1/2,z'
'x+1/2,-y+1/2,z'
loop_
_atom_site_label
_atom_site_type_symbol
_atom_site_fract_x
_atom_site_fract_y
_atom_site_fract_z
_atom_site_occupancy
Ta1 Ta 0.000 0.000 0.000 1
In1 In 0.155 0.500 0.416 1
Se1 Se 0.302 0.000 0.050 1
Se2 Se 0.463 0.000 0.672 1
```

Computed properties:
For the total DFT energy (no corrections), the calculation gives -6.22 eV/atom. The calculation puts the uncorrected formation energy at -1.6 eV/f.u.



# 3
This record from Alexandria describes a relaxed structure of TaIn2Se. The functional is GGA-PBEsol.

```
data_TaIn2Se
_symmetry_space_group_name_H-M 'R -3 m'
_symmetry_Int_Tables_number 166
_symmetry_space_group_name_Hall '-R 3 2"'
_cell_length_a 3.3390
_cell_length_b 3.3390
_cell_length_c 25.6234
_cell_angle_alpha 90.00
_cell_angle_beta 90.00
_cell_angle_gamma 120.00
loop_
_atom_site_label
_atom_site_type_symbol
_atom_site_fract_x
_atom_site_fract_y
_atom_site_fract_z
_atom_site_occupancy
Ta1 Ta 0.0000 0.0000 0.0000 1
In1 In 0.0000 0.0000 0.2465 1
Se1 Se 0.0000 0.0000 0.5000 1
```

Computed properties:
For the total DFT energy (no corrections), the calculation gives -5.38 eV/atom. The calculation puts the uncorrected formation energy at 0.8 eV/f.u.



# 4
This record from Alexandria describes a relaxed structure of TaInSe2. The functional is GGA-PBEsol.

```
data_TaInSe2
_symmetry_space_group_name_H-M 'I m m 2'
_symmetry_Int_Tables_number 44
_cell_length_a 3.277
_cell_length_b 3.378
_cell_length_c 16.197
_cell_angle_alpha 90.00
_cell_angle_beta 90.00
_cell_angle_gamma 90.00
loop_
_symmetry_equiv_pos_as_xyz
'x,y,z'
'-x,-y,z'
'-x,y,z'
'x,-y,z'
'x+1/2,y+1/2,z+1/2'
'-x+1/2,-y+1/2,z+1/2'
'-x+1/2,y+1/2,z+1/2'
'x+1/2,-y+1/2,z+1/2'
loop_
_atom_site_label
_atom_site_type_symbol
_atom_site_fract_x
_atom_site_fract_y
_atom_site_fract_z
_atom_site_occupancy
Ta1 Ta 0.000 0.000 0.000 1
In1 In 0.000 0.500 0.255 1
Se1 Se 0.000 0.000 0.423 1
Se2 Se 0.000 0.500 0.617 1
```

Computed properties:
For the total DFT energy (no corrections), the calculation gives -6.19 eV/atom. The calculation puts the uncorrected formation energy at -1.5 eV/f.u.



# 5
This record from Alexandria describes a relaxed structure of Ta2InSe. The functional is GGA-PBEsol.

```
data_Ta2InSe
_symmetry_space_group_name_H-M 'I -4 m 2'
_symmetry_Int_Tables_number 119
_symmetry_space_group_name_Hall 'I -4 -2'
_cell_length_a 4.054
_cell_length_b 4.054
_cell_length_c 8.886
_cell_angle_alpha 90.00
_cell_angle_beta 90.00
_cell_angle_gamma 90.00
loop_
_atom_site_label
_atom_site_type_symbol
_atom_site_fract_x
_atom_site_fract_y
_atom_site_fract_z
_atom_site_occupancy
Ta1 Ta 0.000 0.000 0.000 1
Ta2 Ta 0.000 0.500 0.250 1
In1 In 0.000 0.000 0.500 1
Se1 Se 0.000 0.500 0.750 1
```

Computed properties:
For the total DFT energy (no corrections), the calculation gives -7.63 eV/atom. For the relative energy among the computed polymorphs, the calculation gives 1.98 eV/f.u. The calculation puts the uncorrected formation energy at 1.4 eV/f.u.



# 6
This record from Alexandria describes a relaxed structure of Ta2InSe. The functional is GGA-PBEsol.

```
data_Ta2InSe
_symmetry_space_group_name_H-M 'P 4 m m'
_symmetry_Int_Tables_number 99
_cell_length_a 3.361
_cell_length_b 3.361
_cell_length_c 6.838
_cell_angle_alpha 90.00
_cell_angle_beta 90.00
_cell_angle_gamma 90.00
loop_
_symmetry_equiv_pos_as_xyz
'x,y,z'
'-y,x,z'
'-x,-y,z'
'y,-x,z'
'-x,y,z'
'y,x,z'
'x,-y,z'
'-y,-x,z'
loop_
_atom_site_label
_atom_site_type_symbol
_atom_site_fract_x
_atom_site_fract_y
_atom_site_fract_z
_atom_site_occupancy
Ta1 Ta 0.000 0.000 0.000 1
Ta2 Ta 0.500 0.500 0.231 1
In1 In 0.000 0.000 0.484 1
Se1 Se 0.500 0.500 0.825 1
```

Computed properties:
For the total DFT energy (no corrections), the calculation gives -8.12 eV/atom. For the relative energy among the computed polymorphs, the calculation gives 0.00 eV/f.u. The calculation puts the uncorrected formation energy at -0.5 eV/f.u.



# 7
This record from Alexandria describes a relaxed structure of Ta2InSe. The functional is GGA-PBEsol.

```
data_Ta2InSe
_symmetry_space_group_name_H-M 'P 4/m m m'
_symmetry_Int_Tables_number 123
_symmetry_space_group_name_Hall '-P 4 2'
_cell_length_a 4.780
_cell_length_b 4.780
_cell_length_c 3.116
_cell_angle_alpha 90.00
_cell_angle_beta 90.00
_cell_angle_gamma 90.00
loop_
_atom_site_label
_atom_site_type_symbol
_atom_site_fract_x
_atom_site_fract_y
_atom_site_fract_z
_atom_site_occupancy
Ta1 Ta 0.000 0.500 0.000 1
In1 In 0.000 0.000 0.500 1
Se1 Se 0.500 0.500 0.500 1
```

Computed properties:
For the total DFT energy (no corrections), the calculation gives -7.79 eV/atom. For the relative energy among the computed polymorphs, the calculation gives 1.32 eV/f.u. The calculation puts the uncorrected formation energy at 0.8 eV/f.u.



# 8
This record from Alexandria describes a relaxed structure of Ta2InTeSe. The functional is GGA-PBEsol.

```
data_Ta2InTeSe
_symmetry_space_group_name_H-M 'P 4/m m m'
_symmetry_Int_Tables_number 123
_symmetry_space_group_name_Hall '-P 4 2'
_cell_length_a 4.750
_cell_length_b 4.750
_cell_length_c 5.384
_cell_angle_alpha 90.00
_cell_angle_beta 90.00
_cell_angle_gamma 90.00
loop_
_atom_site_label
_atom_site_type_symbol
_atom_site_fract_x
_atom_site_fract_y
_atom_site_fract_z
_atom_site_occupancy
Ta1 Ta 0.000 0.500 0.000 1
In1 In 0.000 0.000 0.500 1
Te1 Te 0.500 0.500 0.500 1
Se1 Se 0.000 0.000 0.000 1
```

Computed properties:
For the total DFT energy (no corrections), the calculation gives -6.09 eV/atom. The calculation puts the uncorrected formation energy at 5.0 eV/f.u.



# 9
This record from Alexandria describes a relaxed structure of TaTi2InSe. The functional is GGA-PBEsol.

```
data_TaTi2InSe
_symmetry_space_group_name_H-M 'P 4/m m m'
_symmetry_Int_Tables_number 123
_symmetry_space_group_name_Hall '-P 4 2'
_cell_length_a 4.911
_cell_length_b 4.911
_cell_length_c 4.903
_cell_angle_alpha 90.00
_cell_angle_beta 90.00
_cell_angle_gamma 90.00
loop_
_atom_site_label
_atom_site_type_symbol
_atom_site_fract_x
_atom_site_fract_y
_atom_site_fract_z
_atom_site_occupancy
Ta1 Ta 0.000 0.000 0.000 1
Ti1 Ti 0.000 0.500 0.500 1
In1 In 0.500 0.500 0.500 1
Se1 Se 0.500 0.500 0.000 1
```

Computed properties:
For the total DFT energy (no corrections), the calculation gives -5.52 eV/atom. The calculation puts the uncorrected formation energy at 8.4 eV/f.u.



# 10
This record from Alexandria describes a relaxed structure of InTcSe2. The functional is GGA-PBEsol.

```
data_InTcSe2
_symmetry_space_group_name_H-M 'R 3 m'
_symmetry_Int_Tables_number 160
_symmetry_space_group_name_Hall 'R 3 -2"'
_cell_length_a 3.1931
_cell_length_b 3.1931
_cell_length_c 27.2270
_cell_angle_alpha 90.00
_cell_angle_beta 90.00
_cell_angle_gamma 120.00
loop_
_atom_site_label
_atom_site_type_symbol
_atom_site_fract_x
_atom_site_fract_y
_atom_site_fract_z
_atom_site_occupancy
In1 In 0.0000 0.0000 0.0000 1
Tc1 Tc 0.0000 0.0000 0.2533 1
Se1 Se 0.0000 0.0000 0.5287 1
Se2 Se 0.0000 0.0000 0.7450 1
```

Computed properties:
For the total DFT energy (no corrections), the calculation gives -5.60 eV/atom. The calculation puts the uncorrected formation energy at -0.5 eV/f.u.